# La2MoIr

A PBEsol-optimized structure of La2MoIr (SCAN, Alexandria).

## Properties
As for the formation energy: 44.2 kJ/mol of atoms. The energy above the lowest structure with this stoichiometry comes out at 0.668 eV per atom. As for the space-group type: C2/m, No. 12.

Unit cell a=5.198 b=5.198 c=5.483 alpha=94.92 beta=94.92 gamma=33.71
Sites, in units of the cell vectors:
La  0.247  0.247  0.259
La  0.753  0.753  0.741
Mo  0.000  0.000  0.000
Ir  0.500  0.500  0.500

---

# La2MoIr

A PBEsol-optimized structure of La2MoIr (SCAN, Alexandria).

## Properties
As for the formation energy: 13.1 kJ/mol of atoms. The energy above the lowest structure with this stoichiometry comes out at 0.345 eV per atom. As for the space-group type: Pmmm, No. 47.

Unit cell a=3.651 b=4.650 c=5.163 alpha=90.00 beta=90.00 gamma=90.00
Sites, in units of the cell vectors:
La  0.000  0.000  0.000
La  0.000  0.500  0.500
Mo  0.500  0.000  0.500
Ir  0.500  0.500  0.000